Entry 1:
# BaSr3 | Alexandria | GGA-PBE | optimized geometry
data_BaSr3
_chemical_formula_sum 'Ba1 Sr3'
_space_group_name_H-M_alt 'P 1'
_space_group_IT_number 1
_space_group_name_Hall 'P 1'
_cell_length_a 7.474
_cell_length_b 7.474
_cell_length_c 4.310
_cell_angle_alpha 90.00
_cell_angle_beta 90.00
_cell_angle_gamma 109.43
loop_
_atom_site_label
_atom_site_fract_x
_atom_site_fract_y
_atom_site_fract_z
Sr1 0.000 0.500 0.500
Sr2 0.500 0.000 0.500
Sr3 0.500 0.500 0.000
Ba1 0.000 0.000 0.000
# Crystal system: orthorhombic
# Symmetry: Cmmm, No. 65
# Polymorph energy (0 for the lowest one): 8 meV per atom

Entry 2:
# BaSr4 | Alexandria | GGA-PBE | optimized geometry
data_BaSr4
_chemical_formula_sum 'Ba1 Sr4'
_space_group_name_H-M_alt 'P 1'
_space_group_IT_number 1
_space_group_name_Hall 'P 1'
_cell_length_a 17.688
_cell_length_b 17.688
_cell_length_c 17.688
_cell_angle_alpha 13.97
_cell_angle_beta 13.97
_cell_angle_gamma 13.97
loop_
_atom_site_label
_atom_site_fract_x
_atom_site_fract_y
_atom_site_fract_z
Sr1 0.598 0.598 0.598
Sr2 0.199 0.199 0.199
Sr3 0.801 0.801 0.801
Sr4 0.402 0.402 0.402
Ba1 0.000 0.000 0.000
# Crystal system: trigonal
# Symmetry: R-3m, No. 166
# Polymorph energy (0 for the lowest one): 0 meV per atom

Entry 3:
# Ba4Sr | Alexandria | GGA-PBE | optimized geometry
data_Ba4Sr
_chemical_formula_sum 'Ba4 Sr1'
_space_group_name_H-M_alt 'P 1'
_space_group_IT_number 1
_space_group_name_Hall 'P 1'
_cell_length_a 7.720
_cell_length_b 7.720
_cell_length_c 7.720
_cell_angle_alpha 99.35
_cell_angle_beta 99.35
_cell_angle_gamma 132.47
loop_
_atom_site_label
_atom_site_fract_x
_atom_site_fract_y
_atom_site_fract_z
Ba1 0.799 0.400 0.199
Ba2 0.400 0.201 0.600
Ba3 0.201 0.600 0.801
Ba4 0.600 0.799 0.400
Sr1 0.000 0.000 0.000
# Crystal system: tetragonal
# Symmetry: I4/m, No. 87
# Polymorph energy (0 for the lowest one): 15 meV per atom

Entry 4:
# Ba17Sr2 | Alexandria | GGA-PBE | optimized geometry
data_Ba17Sr2
_chemical_formula_sum 'Ba17 Sr2'
_space_group_name_H-M_alt 'P 1'
_space_group_IT_number 1
_space_group_name_Hall 'P 1'
_cell_length_a 10.969
_cell_length_b 10.969
_cell_length_c 10.969
_cell_angle_alpha 80.13
_cell_angle_beta 80.13
_cell_angle_gamma 80.13
loop_
_atom_site_label
_atom_site_fract_x
_atom_site_fract_y
_atom_site_fract_z
Ba1 0.346 0.346 0.840
Ba2 0.346 0.840 0.346
Ba3 0.096 0.096 0.096
Ba4 0.904 0.904 0.904
Ba5 0.000 0.000 0.500
Ba6 0.500 0.000 0.000
Ba7 0.000 0.500 0.000
Ba8 0.315 0.685 0.000
Ba9 0.000 0.315 0.685
Ba10 0.685 0.000 0.315
Ba11 0.685 0.315 0.000
Ba12 0.000 0.685 0.315
Ba13 0.315 0.000 0.685
Ba14 0.654 0.160 0.654
Ba15 0.654 0.654 0.160
Ba16 0.160 0.654 0.654
Ba17 0.840 0.346 0.346
Sr1 0.695 0.696 0.696
Sr2 0.305 0.304 0.304
# Crystal system: monoclinic
# Symmetry: C2/m, No. 12

For reference, M_tot by record: 0.0; 0.0; 0.0; 0.0 μB per formula unit.
For reference, formation energy by record: 0.0082; 0.0126; 0.0167; 0.1282 eV per atom.